1.
# Zn2Ge2Bi (PBE, relaxed)
# mass density = 7.83 g/cm3
# E_form = 0.214 eV/atom
# V = 20.56 Å³/atom
# offset from the most stable computed form = 26 meV per atom
# space-group type = P4/mbm
# crystal system = tetragonal
# E_tot = -2.92 eV per atom
data_Zn2Ge2Bi
_cell_length_a 8.109
_cell_length_b 8.109
_cell_length_c 3.127
_cell_angle_alpha 90.00
_cell_angle_beta 90.00
_cell_angle_gamma 90.00
_space_group_name_H-M_alt 'P 1'
_space_group_IT_number 1
_space_group_name_Hall 'P 1'
loop_
_atom_site_label
_atom_site_type_symbol
_atom_site_fract_x
_atom_site_fract_y
_atom_site_fract_z
_atom_site_occupancy
Zn1 Zn 0.350 0.850 0.000 1
Zn2 Zn 0.850 0.650 0.000 1
Zn3 Zn 0.650 0.150 0.000 1
Zn4 Zn 0.150 0.350 0.000 1
Ge1 Ge 0.141 0.641 0.500 1
Ge2 Ge 0.641 0.859 0.500 1
Ge3 Ge 0.859 0.359 0.500 1
Ge4 Ge 0.359 0.141 0.500 1
Bi1 Bi 0.000 0.000 0.000 1
Bi2 Bi 0.500 0.500 0.000 1


2.
# ZnGeBi (PBE, relaxed)
# mass density = 8.12 g/cm3
# E_form = 0.199 eV/atom
# V = 23.65 Å³/atom
# space-group type = P3m1
# crystal system = trigonal
# E_tot = -3.06 eV per atom
data_ZnGeBi
_cell_length_a 4.836
_cell_length_b 4.116
_cell_length_c 4.116
_cell_angle_alpha 120.00
_cell_angle_beta 90.00
_cell_angle_gamma 90.00
_space_group_name_H-M_alt 'P 1'
_space_group_IT_number 1
_space_group_name_Hall 'P 1'
loop_
_atom_site_label
_atom_site_type_symbol
_atom_site_fract_x
_atom_site_fract_y
_atom_site_fract_z
_atom_site_occupancy
Zn1 Zn 0.057 0.000 0.000 1
Ge1 Ge 0.287 0.667 0.333 1
Bi1 Bi 0.656 0.333 0.667 1


3.
# ZnGe3Bi (PBE, relaxed)
# mass density = 4.72 g/cm3
# E_form = 1.143 eV/atom
# V = 34.66 Å³/atom
# offset from the most stable computed form = 661 meV per atom
# space-group type = Pm-3m
# crystal system = cubic
# E_tot = -2.66 eV per atom
data_ZnGe3Bi
_cell_length_a 5.575
_cell_length_b 5.575
_cell_length_c 5.575
_cell_angle_alpha 90.00
_cell_angle_beta 90.00
_cell_angle_gamma 90.00
_space_group_name_H-M_alt 'P 1'
_space_group_IT_number 1
_space_group_name_Hall 'P 1'
loop_
_atom_site_label
_atom_site_type_symbol
_atom_site_fract_x
_atom_site_fract_y
_atom_site_fract_z
_atom_site_occupancy
Zn1 Zn 0.500 0.500 0.500 1
Ge1 Ge 0.000 0.500 0.000 1
Ge2 Ge 0.000 0.000 0.500 1
Ge3 Ge 0.500 0.000 0.000 1
Bi1 Bi 0.000 0.000 0.000 1


4.
# Zn4GeBi (PBE, relaxed)
# mass density = 7.82 g/cm3
# E_form = 0.194 eV/atom
# V = 19.23 Å³/atom
# space-group type = F-43m
# crystal system = cubic
# E_tot = -2.07 eV per atom
data_Zn4GeBi
_cell_length_a 5.464
_cell_length_b 5.464
_cell_length_c 5.464
_cell_angle_alpha 60.00
_cell_angle_beta 60.00
_cell_angle_gamma 60.00
_space_group_name_H-M_alt 'P 1'
_space_group_IT_number 1
_space_group_name_Hall 'P 1'
loop_
_atom_site_label
_atom_site_type_symbol
_atom_site_fract_x
_atom_site_fract_y
_atom_site_fract_z
_atom_site_occupancy
Zn1 Zn 0.624 0.624 0.128 1
Zn2 Zn 0.624 0.128 0.624 1
Zn3 Zn 0.624 0.624 0.624 1
Zn4 Zn 0.128 0.624 0.624 1
Ge1 Ge 0.250 0.250 0.250 1
Bi1 Bi 0.000 0.000 0.000 1


5.
# ZnGe3Bi (PBE, relaxed)
# mass density = 6.86 g/cm3
# E_form = 0.482 eV/atom
# V = 23.85 Å³/atom
# offset from the most stable computed form = 0 meV per atom
# space-group type = Pm-3m
# crystal system = cubic
# E_tot = -3.32 eV per atom
data_ZnGe3Bi
_cell_length_a 4.922
_cell_length_b 4.922
_cell_length_c 4.922
_cell_angle_alpha 90.00
_cell_angle_beta 90.00
_cell_angle_gamma 90.00
_space_group_name_H-M_alt 'P 1'
_space_group_IT_number 1
_space_group_name_Hall 'P 1'
loop_
_atom_site_label
_atom_site_type_symbol
_atom_site_fract_x
_atom_site_fract_y
_atom_site_fract_z
_atom_site_occupancy
Zn1 Zn 0.000 0.000 0.000 1
Ge1 Ge 0.000 0.500 0.000 1
Ge2 Ge 0.000 0.000 0.500 1
Ge3 Ge 0.500 0.000 0.000 1
Bi1 Bi 0.500 0.500 0.500 1


6.
# ZnGe2Bi2 (PBE, relaxed)
# mass density = 8.16 g/cm3
# E_form = 0.311 eV/atom
# V = 25.59 Å³/atom
# offset from the most stable computed form = 0 meV per atom
# space-group type = P4/mbm
# crystal system = tetragonal
# E_tot = -3.34 eV per atom
data_ZnGe2Bi2
_cell_length_a 8.140
_cell_length_b 8.140
_cell_length_c 3.862
_cell_angle_alpha 90.00
_cell_angle_beta 90.00
_cell_angle_gamma 90.00
_space_group_name_H-M_alt 'P 1'
_space_group_IT_number 1
_space_group_name_Hall 'P 1'
loop_
_atom_site_label
_atom_site_type_symbol
_atom_site_fract_x
_atom_site_fract_y
_atom_site_fract_z
_atom_site_occupancy
Zn1 Zn 0.000 0.000 0.000 1
Zn2 Zn 0.500 0.500 0.000 1
Ge1 Ge 0.367 0.867 0.000 1
Ge2 Ge 0.867 0.633 0.000 1
Ge3 Ge 0.633 0.133 0.000 1
Ge4 Ge 0.133 0.367 0.000 1
Bi1 Bi 0.159 0.659 0.500 1
Bi2 Bi 0.659 0.841 0.500 1
Bi3 Bi 0.841 0.341 0.500 1
Bi4 Bi 0.341 0.159 0.500 1


7.
# Zn2GeBi (PBE, relaxed)
# mass density = 7.09 g/cm3
# E_form = 0.185 eV/atom
# V = 24.15 Å³/atom
# offset from the most stable computed form = 0 meV per atom
# space-group type = I-42d
# crystal system = tetragonal
# E_tot = -2.58 eV per atom
data_Zn2GeBi
_cell_length_a 4.932
_cell_length_b 4.932
_cell_length_c 8.677
_cell_angle_alpha 73.49
_cell_angle_beta 73.49
_cell_angle_gamma 90.00
_space_group_name_H-M_alt 'P 1'
_space_group_IT_number 1
_space_group_name_Hall 'P 1'
loop_
_atom_site_label
_atom_site_type_symbol
_atom_site_fract_x
_atom_site_fract_y
_atom_site_fract_z
_atom_site_occupancy
Zn1 Zn 0.552 0.125 0.250 1
Zn2 Zn 0.198 0.625 0.250 1
Zn3 Zn 0.375 0.448 0.750 1
Zn4 Zn 0.875 0.802 0.750 1
Ge1 Ge 0.500 0.500 0.000 1
Ge2 Ge 0.250 0.750 0.500 1
Bi1 Bi 0.000 0.000 0.000 1
Bi2 Bi 0.750 0.250 0.500 1


8.
# ZnGe2Bi2 (PBE, relaxed)
# mass density = 7.92 g/cm3
# E_form = 0.338 eV/atom
# V = 26.36 Å³/atom
# offset from the most stable computed form = 28 meV per atom
# space-group type = P4/mbm
# crystal system = tetragonal
# E_tot = -3.32 eV per atom
data_ZnGe2Bi2
_cell_length_a 8.256
_cell_length_b 8.256
_cell_length_c 3.868
_cell_angle_alpha 90.00
_cell_angle_beta 90.00
_cell_angle_gamma 90.00
_space_group_name_H-M_alt 'P 1'
_space_group_IT_number 1
_space_group_name_Hall 'P 1'
loop_
_atom_site_label
_atom_site_type_symbol
_atom_site_fract_x
_atom_site_fract_y
_atom_site_fract_z
_atom_site_occupancy
Zn1 Zn 0.000 0.000 0.000 1
Zn2 Zn 0.500 0.500 0.000 1
Ge1 Ge 0.121 0.621 0.500 1
Ge2 Ge 0.621 0.879 0.500 1
Ge3 Ge 0.879 0.379 0.500 1
Ge4 Ge 0.379 0.121 0.500 1
Bi1 Bi 0.330 0.830 0.000 1
Bi2 Bi 0.830 0.670 0.000 1
Bi3 Bi 0.670 0.170 0.000 1
Bi4 Bi 0.170 0.330 0.000 1


9.
# ZnGeBi2 (PBE, relaxed)
# mass density = 6.99 g/cm3
# E_form = 0.137 eV/atom
# V = 33.00 Å³/atom
# space-group type = I-42d
# crystal system = tetragonal
# E_tot = -3.28 eV per atom
data_ZnGeBi2
_cell_length_a 6.427
_cell_length_b 6.427
_cell_length_c 7.842
_cell_angle_alpha 65.81
_cell_angle_beta 65.81
_cell_angle_gamma 90.00
_space_group_name_H-M_alt 'P 1'
_space_group_IT_number 1
_space_group_name_Hall 'P 1'
loop_
_atom_site_label
_atom_site_type_symbol
_atom_site_fract_x
_atom_site_fract_y
_atom_site_fract_z
_atom_site_occupancy
Zn1 Zn 0.500 0.500 0.000 1
Zn2 Zn 0.250 0.750 0.500 1
Ge1 Ge 0.000 0.000 0.000 1
Ge2 Ge 0.750 0.250 0.500 1
Bi1 Bi 0.619 0.125 0.250 1
Bi2 Bi 0.131 0.625 0.250 1
Bi3 Bi 0.375 0.381 0.750 1
Bi4 Bi 0.875 0.869 0.750 1


10.
# ZnGe2Bi2 (PBE, relaxed)
# mass density = 7.03 g/cm3
# E_form = 0.330 eV/atom
# V = 29.69 Å³/atom
# offset from the most stable computed form = 19 meV per atom
# space-group type = I4/mmm
# crystal system = tetragonal
# E_tot = -3.32 eV per atom
data_ZnGe2Bi2
_cell_length_a 4.533
_cell_length_b 4.533
_cell_length_c 7.904
_cell_angle_alpha 73.34
_cell_angle_beta 73.34
_cell_angle_gamma 90.00
_space_group_name_H-M_alt 'P 1'
_space_group_IT_number 1
_space_group_name_Hall 'P 1'
loop_
_atom_site_label
_atom_site_type_symbol
_atom_site_fract_x
_atom_site_fract_y
_atom_site_fract_z
_atom_site_occupancy
Zn1 Zn 0.000 0.000 0.000 1
Ge1 Ge 0.750 0.250 0.500 1
Ge2 Ge 0.250 0.750 0.500 1
Bi1 Bi 0.380 0.380 0.241 1
Bi2 Bi 0.620 0.620 0.759 1


11.
# ZnGeBi2 (PBE, relaxed)
# mass density = 7.77 g/cm3
# E_form = 0.358 eV/atom
# V = 29.71 Å³/atom
# space-group type = R-3m
# crystal system = trigonal
# E_tot = -3.06 eV per atom
data_ZnGeBi2
_cell_length_a 3.685
_cell_length_b 3.685
_cell_length_c 10.327
_cell_angle_alpha 79.72
_cell_angle_beta 79.72
_cell_angle_gamma 60.00
_space_group_name_H-M_alt 'P 1'
_space_group_IT_number 1
_space_group_name_Hall 'P 1'
loop_
_atom_site_label
_atom_site_type_symbol
_atom_site_fract_x
_atom_site_fract_y
_atom_site_fract_z
_atom_site_occupancy
Zn1 Zn 0.000 0.000 0.000 1
Ge1 Ge 0.500 0.500 0.500 1
Bi1 Bi 0.097 0.097 0.708 1
Bi2 Bi 0.903 0.903 0.292 1


12.
# ZrGeBi3 (PBE, relaxed)
# mass density = 7.26 g/cm3
# E_form = 0.556 eV/atom
# V = 36.19 Å³/atom
# offset from the most stable computed form = 0 meV per atom
# space-group type = Pm-3m
# crystal system = cubic
# E_tot = -4.41 eV per atom
data_ZrGeBi3
_cell_length_a 5.656
_cell_length_b 5.656
_cell_length_c 5.656
_cell_angle_alpha 90.00
_cell_angle_beta 90.00
_cell_angle_gamma 90.00
_space_group_name_H-M_alt 'P 1'
_space_group_IT_number 1
_space_group_name_Hall 'P 1'
loop_
_atom_site_label
_atom_site_type_symbol
_atom_site_fract_x
_atom_site_fract_y
_atom_site_fract_z
_atom_site_occupancy
Ge1 Ge 0.500 0.500 0.500 1
Bi1 Bi 0.000 0.500 0.000 1
Bi2 Bi 0.000 0.000 0.500 1
Bi3 Bi 0.500 0.000 0.000 1
Zr1 Zr 0.000 0.000 0.000 1